Density functional theory data (PBE-GGA) for a geometry-optimized BaTaTl structure.

a = 7.672 Å, b = 7.672 Å, c = 7.672 Å
α = 90.00°, β = 90.00°, γ = 90.00°
Space group F-43m (No. 216)
One atom of each set of equivalent atoms:
Ba (0.000, 0.000, 0.000) x4
Ta (0.250, 0.250, 0.250) x4
Tl (0.250, 0.250, 0.750) x4

Results
E above lowest polymorph: 971 meV per atom
Total DFT energy (no corrections): -11.11 eV per formula unit
Crystal system: cubic

Density functional theory data (PBE-GGA) for a geometry-optimized BaTa2Tl structure.

a = 3.564 Å, b = 3.564 Å, c = 8.399 Å
α = 90.00°, β = 90.00°, γ = 90.00°
Space group P4mm (No. 99)
One atom of each set of equivalent atoms:
Ba (0.000, 0.000, 0.000) x1
Ta (0.000, 0.000, 0.450) x1
Ta (0.500, 0.500, 0.316) x1
Tl (0.500, 0.500, 0.683) x1

Results
E above lowest polymorph: 0 meV per atom
Total DFT energy (no corrections): -26.26 eV per formula unit
Crystal system: tetragonal

Density functional theory data (PBE-GGA) for a geometry-optimized BaTa2Tl structure.

a = 3.166 Å, b = 5.331 Å, c = 6.672 Å
α = 90.00°, β = 95.84°, γ = 90.00°
Space group P2/m (No. 10)
One atom of each set of equivalent atoms:
Ba (0.000, 0.000, 0.000) x1
Ta (0.296, 0.500, 0.659) x2
Tl (0.500, 0.000, 0.500) x1

Results
E above lowest polymorph: 415 meV per atom
Total DFT energy (no corrections): -24.60 eV per formula unit
Crystal system: monoclinic

Density functional theory data (PBE-GGA) for a geometry-optimized BaTaTl structure.

a = 5.4435 Å, b = 5.4435 Å, c = 3.3195 Å
α = 90.00°, β = 90.00°, γ = 120.00°
Space group P-6m2 (No. 187)
One atom of each set of equivalent atoms:
Ba (0.0000, 0.0000, 0.0000) x1
Ta (0.6667, 0.3333, 0.5000) x1
Tl (0.3333, 0.6667, 0.5000) x1

Results
E above lowest polymorph: 159 meV per atom
Total DFT energy (no corrections): -13.54 eV per formula unit
Crystal system: hexagonal